DFT (PBE+U) results for a geometry-optimized RbCdMoO4 structure.

Values from the calculation:
For the total DFT energy (no corrections), the calculation gives -39.2 eV per formula unit. The calculation puts the total moment at 0.00 μB/f.u.

a b c (Å): 6.868 5.711 8.511
angles (deg): 90.00 104.24 90.00
Space group P2_1/m (No. 11)
Inequivalent atoms, fractional coordinates:
Rb  0.218  0.250  0.440 x2
Cd  0.104  0.250  0.952 x2
Mo  0.338  0.750  0.735 x2
O  0.196  0.004  0.766 x4
O  0.344  0.750  0.527 x2
O  0.406  0.250  0.146 x2